# 1
The following is a DFT calculation (PBE-GGA) of ZrV4Ag after structural relaxation.

Calculated values
SG   F-43m, No. 216
Final energy   -7.78 eV/atom
Formation energy from the elements   0.196 eV per atom

```
6
Lattice="0.000 3.626 3.626 3.626 0.000 3.626 3.626 3.626 0.000" Properties=species:S:1:pos:R:3 pbc="T T T"
Zr 0.000 0.000 0.000
V 4.554 2.698 2.698
V 2.698 4.554 2.698
V 2.698 2.698 4.554
V 4.554 4.554 4.554
Ag 1.813 1.813 1.813
```

# 2
The following is a DFT calculation (PBE-GGA) of CePIrF after structural relaxation.

Calculated values
SG   P4/nmm, No. 129
Final energy   -7.52 eV/atom
Formation energy from raw total energies   -2.0029 eV per atom

```
8
Lattice="3.929 0.000 0.000 0.000 3.929 0.000 0.000 0.000 8.500" Properties=species:S:1:pos:R:3 pbc="T T T"
Ce 0.982 0.982 1.642
Ce 2.947 2.947 6.858
P 0.982 0.982 5.653
P 2.947 2.947 2.847
Ir 0.982 2.947 4.250
Ir 2.947 0.982 4.250
F 0.982 2.947 0.000
F 2.947 0.982 0.000
```

Which formula does entry 2 have? CePIrF

The highest final energy belongs to which entry? CePIrF

Among the records above, which one has the highest final energy? CePIrF